Version w
Density functional theory data (PBE-GGA) for a geometry-optimized K2Pb2Se3 structure.

Cell lengths 9.2575, 11.5371, 11.5371 Å; angles 87.73, 66.78, 66.78 degrees
With the nearest neighbours (Å) after each atom.
Fractional coordinates of all 28 atoms:
K: 0.9271 0.0367 0.1980  5 Se 3.27-3.35
K: 0.4271 0.1980 0.0367  5 Se 3.27-3.35
K: 0.7500 0.2719 0.7281  6 Se 3.41-3.65, 2 Pb 3.75
K: 0.7500 0.5704 0.4296  6 Se 3.44-3.56, 2 Pb 3.78
K: 0.2500 0.4296 0.5704  6 Se 3.44-3.56, 2 Pb 3.78
K: 0.2500 0.7281 0.2719  6 Se 3.41-3.65, 2 Pb 3.75
K: 0.5729 0.8020 0.9633  5 Se 3.27-3.35
K: 0.0729 0.9633 0.8020  5 Se 3.27-3.35
Pb: 0.5809 0.3963 0.2364  3 Se 2.79-3.01
Pb: 0.5759 0.0914 0.5855  4 Se 2.89-3.08
Pb: 0.0809 0.2364 0.3963  3 Se 2.79-3.01
Pb: 0.0759 0.5855 0.0914  4 Se 2.89-3.08
Pb: 0.9241 0.4145 0.9086  4 Se 2.89-3.08
Pb: 0.9191 0.7636 0.6037  3 Se 2.79-3.01
Pb: 0.4241 0.9086 0.4145  4 Se 2.89-3.08
Pb: 0.4191 0.6037 0.7636  3 Se 2.79-3.01
Se: 0.7047 0.2773 0.4350  3 Pb 3.01-3.17, 1 K 3.33
Se: 0.7202 0.5926 0.1405  3 Pb 2.89-3.08
Se: 0.2047 0.4350 0.2773  3 Pb 3.01-3.17, 1 K 3.33
Se: 0.2202 0.1405 0.5926  3 Pb 2.89-3.08
Se: 0.7801 0.2237 0.0130  2 Pb 2.79-2.98
Se: 0.2199 0.7763 0.9870  2 Pb 2.79-2.98
Se: 0.7798 0.8595 0.4074  3 Pb 2.89-3.08
Se: 0.7953 0.5650 0.7227  3 Pb 3.01-3.17, 1 K 3.33
Se: 0.2801 0.0130 0.2237  2 Pb 2.79-2.98
Se: 0.2798 0.4074 0.8595  3 Pb 2.89-3.08
Se: 0.2953 0.7227 0.5650  3 Pb 3.01-3.17, 1 K 3.33
Se: 0.7199 0.9870 0.7763  2 Pb 2.79-2.98


Version x
Density functional theory data (PBE-GGA) for a geometry-optimized K2Pb2Se3 structure.

Cell lengths 4.5304, 7.7270, 8.2227 Å; angles 103.31, 90.01, 107.03 degrees
With the nearest neighbours (Å) after each atom.
Fractional coordinates of all 7 atoms:
K: 0.8574 0.7155 0.6425  4 Se 3.18-3.29
K: 0.1426 0.2845 0.3575  4 Se 3.18-3.29
Pb: 0.6314 0.2625 0.9243  5 Se 2.86-3.17
Pb: 0.3686 0.7375 0.0757  5 Se 2.86-3.17
Se: 0.0000 0.0000 0.0000  4 Pb 3.14, 2 K 3.18
Se: 0.7683 0.5362 0.2359  3 Pb 2.86-3.17
Se: 0.2317 0.4638 0.7641  3 Pb 2.86-3.17


Most stable structure: version w